# PBEsol LiFeRu2, relaxed
# Excess energy over the best structure of this formula in the dataset ... 0.00 eV/f.u.
# Space-group type ... Cm (8)
# ΔH_f (0 K) ... 0.28 eV/atom
data_LiFeRu2
_chemical_formula_sum 'Li1 Fe1 Ru2'
_symmetry_space_group_name_H-M 'P 1'
_symmetry_Int_Tables_number 1
_cell_length_a 4.534
_cell_length_b 4.534
_cell_length_c 4.479
_cell_angle_alpha 98.16
_cell_angle_beta 98.16
_cell_angle_gamma 33.11
loop_
_symmetry_equiv_pos_as_xyz
'x,y,z'
loop_
_atom_site_label
_atom_site_fract_x
_atom_site_fract_y
_atom_site_fract_z
Li1 0.000 0.000 0.000
Fe1 0.246 0.246 0.789
Ru1 0.504 0.504 0.500
Ru2 0.758 0.758 0.291

# PBEsol LiZr2FeRu, relaxed
# Space-group type ... P4/mmm (123)
# ΔH_f (0 K) ... 0.75 eV/atom
data_LiZr2FeRu
_chemical_formula_sum 'Li1 Zr2 Fe1 Ru1'
_symmetry_space_group_name_H-M 'P 1'
_symmetry_Int_Tables_number 1
_cell_length_a 4.641
_cell_length_b 4.641
_cell_length_c 3.590
_cell_angle_alpha 90.00
_cell_angle_beta 90.00
_cell_angle_gamma 90.00
loop_
_symmetry_equiv_pos_as_xyz
'x,y,z'
loop_
_atom_site_label
_atom_site_fract_x
_atom_site_fract_y
_atom_site_fract_z
Li1 0.000 0.000 0.000
Zr1 0.000 0.500 0.000
Zr2 0.500 0.000 0.000
Fe1 0.000 0.000 0.500
Ru1 0.500 0.500 0.500

# PBEsol Li3FeS, relaxed
# Uncorrected formation energy ... 0.600 eV/atom
# Space-group type ... Pm-3m (221)
data_Li3FeS
_chemical_formula_sum 'Li3 Fe1 S1'
_symmetry_space_group_name_H-M 'P 1'
_symmetry_Int_Tables_number 1
_cell_length_a 4.607
_cell_length_b 4.607
_cell_length_c 4.607
_cell_angle_alpha 90.00
_cell_angle_beta 90.00
_cell_angle_gamma 90.00
loop_
_symmetry_equiv_pos_as_xyz
'x,y,z'
loop_
_atom_site_label
_atom_site_fract_x
_atom_site_fract_y
_atom_site_fract_z
Li1 0.000 0.000 0.500
Li2 0.000 0.500 0.000
Li3 0.500 0.000 0.000
Fe1 0.000 0.000 0.000
S1 0.500 0.500 0.500

# PBEsol Li2VFeS4, relaxed
# Uncorrected formation energy ... -0.966 eV/atom
# Space-group type ... P-3m1 (164)
data_Li2VFeS4
_chemical_formula_sum 'Li2 V1 Fe1 S4'
_symmetry_space_group_name_H-M 'P 1'
_symmetry_Int_Tables_number 1
_cell_length_a 3.321
_cell_length_b 3.321
_cell_length_c 11.729
_cell_angle_alpha 90.00
_cell_angle_beta 90.00
_cell_angle_gamma 120.00
loop_
_symmetry_equiv_pos_as_xyz
'x,y,z'
loop_
_atom_site_label
_atom_site_fract_x
_atom_site_fract_y
_atom_site_fract_z
Li1 0.000 0.000 0.240
Li2 0.000 0.000 0.760
V1 0.000 0.000 0.500
Fe1 0.000 0.000 0.000
S1 0.333 0.667 0.101
S2 0.333 0.667 0.620
S3 0.667 0.333 0.380
S4 0.667 0.333 0.899

# PBEsol LiScFe, relaxed
# Excess energy over the best structure of this formula in the dataset ... 0.00 eV/f.u.
# Space-group type ... I4mm (107)
# ΔH_f (0 K) ... 0.27 eV/atom
data_LiScFe
_chemical_formula_sum 'Li1 Sc1 Fe1'
_symmetry_space_group_name_H-M 'P 1'
_symmetry_Int_Tables_number 1
_cell_length_a 5.210
_cell_length_b 5.210
_cell_length_c 5.210
_cell_angle_alpha 144.72
_cell_angle_beta 144.72
_cell_angle_gamma 50.75
loop_
_symmetry_equiv_pos_as_xyz
'x,y,z'
loop_
_atom_site_label
_atom_site_fract_x
_atom_site_fract_y
_atom_site_fract_z
Li1 0.000 0.000 0.000
Sc1 0.706 0.706 0.000
Fe1 0.360 0.360 0.000

# PBEsol LiScFe, relaxed
# Excess energy over the best structure of this formula in the dataset ... 1.38 eV/f.u.
# Space-group type ... F-43m (216)
# ΔH_f (0 K) ... 0.73 eV/atom
data_LiScFe
_chemical_formula_sum 'Li1 Sc1 Fe1'
_symmetry_space_group_name_H-M 'P 1'
_symmetry_Int_Tables_number 1
_cell_length_a 4.117
_cell_length_b 4.117
_cell_length_c 4.117
_cell_angle_alpha 60.00
_cell_angle_beta 60.00
_cell_angle_gamma 60.00
loop_
_symmetry_equiv_pos_as_xyz
'x,y,z'
loop_
_atom_site_label
_atom_site_fract_x
_atom_site_fract_y
_atom_site_fract_z
Li1 0.000 0.000 0.000
Sc1 0.750 0.750 0.750
Fe1 0.250 0.250 0.250

# PBEsol LiFeSi, relaxed
# Uncorrected formation energy ... -0.170 eV/atom
# Space-group type ... P3m1 (156)
data_LiFeSi
_chemical_formula_sum 'Li1 Fe1 Si1'
_symmetry_space_group_name_H-M 'P 1'
_symmetry_Int_Tables_number 1
_cell_length_a 3.873
_cell_length_b 3.873
_cell_length_c 2.468
_cell_angle_alpha 90.00
_cell_angle_beta 90.00
_cell_angle_gamma 120.00
loop_
_symmetry_equiv_pos_as_xyz
'x,y,z'
loop_
_atom_site_label
_atom_site_fract_x
_atom_site_fract_y
_atom_site_fract_z
Li1 0.000 0.000 0.000
Fe1 0.667 0.333 0.638
Si1 0.333 0.667 0.296

# PBEsol Li2FeSi2, relaxed
# Uncorrected formation energy ... -0.057 eV/atom
# Space-group type ... P4/mbm (127)
data_Li2FeSi2
_chemical_formula_sum 'Li4 Fe2 Si4'
_symmetry_space_group_name_H-M 'P 1'
_symmetry_Int_Tables_number 1
_cell_length_a 5.942
_cell_length_b 5.942
_cell_length_c 3.952
_cell_angle_alpha 90.00
_cell_angle_beta 90.00
_cell_angle_gamma 90.00
loop_
_symmetry_equiv_pos_as_xyz
'x,y,z'
loop_
_atom_site_label
_atom_site_fract_x
_atom_site_fract_y
_atom_site_fract_z
Li1 0.168 0.332 0.000
Li2 0.332 0.832 0.000
Li3 0.668 0.168 0.000
Li4 0.832 0.668 0.000
Fe1 0.000 0.000 0.500
Fe2 0.500 0.500 0.500
Si1 0.145 0.645 0.500
Si2 0.355 0.145 0.500
Si3 0.645 0.855 0.500
Si4 0.855 0.355 0.500

# PBEsol LiFe2Si2, relaxed
# Uncorrected formation energy ... -0.028 eV/atom
# Space-group type ... I4/mmm (139)
data_LiFe2Si2
_chemical_formula_sum 'Li1 Fe2 Si2'
_symmetry_space_group_name_H-M 'P 1'
_symmetry_Int_Tables_number 1
_cell_length_a 5.722
_cell_length_b 5.722
_cell_length_c 5.722
_cell_angle_alpha 144.16
_cell_angle_beta 144.16
_cell_angle_gamma 51.59
loop_
_symmetry_equiv_pos_as_xyz
'x,y,z'
loop_
_atom_site_label
_atom_site_fract_x
_atom_site_fract_y
_atom_site_fract_z
Li1 0.000 0.000 0.000
Fe1 0.392 0.392 0.000
Fe2 0.608 0.608 0.000
Si1 0.250 0.750 0.500
Si2 0.750 0.250 0.500

# PBEsol LiFeSi3, relaxed
# Uncorrected formation energy ... 0.198 eV/atom
# Space-group type ... Pm-3m (221)
data_LiFeSi3
_chemical_formula_sum 'Li1 Fe1 Si3'
_symmetry_space_group_name_H-M 'P 1'
_symmetry_Int_Tables_number 1
_cell_length_a 4.329
_cell_length_b 4.329
_cell_length_c 4.329
_cell_angle_alpha 90.00
_cell_angle_beta 90.00
_cell_angle_gamma 90.00
loop_
_symmetry_equiv_pos_as_xyz
'x,y,z'
loop_
_atom_site_label
_atom_site_fract_x
_atom_site_fract_y
_atom_site_fract_z
Li1 0.000 0.000 0.000
Fe1 0.500 0.500 0.500
Si1 0.000 0.500 0.500
Si2 0.500 0.000 0.500
Si3 0.500 0.500 0.000

# PBEsol Sr2LiFe, relaxed
# Excess energy over the best structure of this formula in the dataset ... 0.15 eV/f.u.
# Space-group type ... Fm-3m (225)
# ΔH_f (0 K) ... 0.52 eV/atom
data_Sr2LiFe
_chemical_formula_sum 'Sr2 Li1 Fe1'
_symmetry_space_group_name_H-M 'P 1'
_symmetry_Int_Tables_number 1
_cell_length_a 5.447
_cell_length_b 5.447
_cell_length_c 5.447
_cell_angle_alpha 60.00
_cell_angle_beta 60.00
_cell_angle_gamma 60.00
loop_
_symmetry_equiv_pos_as_xyz
'x,y,z'
loop_
_atom_site_label
_atom_site_fract_x
_atom_site_fract_y
_atom_site_fract_z
Sr1 0.250 0.250 0.250
Sr2 0.750 0.750 0.750
Li1 0.000 0.000 0.000
Fe1 0.500 0.500 0.500

# PBEsol Sr2LiFe, relaxed
# Excess energy over the best structure of this formula in the dataset ... 0.17 eV/f.u.
# Space-group type ... P4mm (99)
# ΔH_f (0 K) ... 0.53 eV/atom
data_Sr2LiFe
_chemical_formula_sum 'Sr2 Li1 Fe1'
_symmetry_space_group_name_H-M 'P 1'
_symmetry_Int_Tables_number 1
_cell_length_a 3.656
_cell_length_b 3.656
_cell_length_c 8.695
_cell_angle_alpha 90.00
_cell_angle_beta 90.00
_cell_angle_gamma 90.00
loop_
_symmetry_equiv_pos_as_xyz
'x,y,z'
loop_
_atom_site_label
_atom_site_fract_x
_atom_site_fract_y
_atom_site_fract_z
Sr1 0.000 0.000 0.000
Sr2 0.500 0.500 0.391
Li1 0.000 0.000 0.652
Fe1 0.500 0.500 0.764